## Ca4VO6 (PBE+U)

Data for a relaxed structure of Ca4VO6.

Values from the calculation:
V = 16.19 Å³ per atom
Final energy = -6.77 eV/atom
Density of states at the Fermi level = 0.0 states/eV/f.u.

a = 10.940 Å, b = 5.966 Å, c = 11.656 Å
α = 90.00°, β = 110.53°, γ = 90.00°
Space group Cc (No. 9)
Unique sites:
Ca: 0.000 0.144 0.000 (multiplicity 4)
Ca: 0.124 0.283 0.327 (multiplicity 4)
Ca: 0.284 0.348 0.649 (multiplicity 4)
Ca: 0.320 0.158 0.931 (multiplicity 4)
V: 0.042 0.244 0.717 (multiplicity 4)
O: 0.085 0.498 0.150 (multiplicity 4)
O: 0.100 0.328 0.879 (multiplicity 4)
O: 0.168 0.041 0.714 (multiplicity 4)
O: 0.306 0.199 0.480 (multiplicity 4)
O: 0.396 0.363 0.104 (multiplicity 4)
O: 0.441 0.364 0.845 (multiplicity 4)